Entry 1:
Material: LiTm2AlGa6
Method: DFT, PBE
State: optimized geometry

POSCAR file:
```
LiTm2AlGa6
1.0
1.218 0.732 6.690
6.431 -1.236 1.168
6.607 3.976 5.241
Tm Li Ga Al
2 1 6 1
direct
0.763 0.266 0.478
0.237 0.734 0.522
0.500 0.500 0.000
0.171 0.322 0.502
0.707 0.230 0.205
0.708 0.789 0.996
0.829 0.678 0.498
0.293 0.770 0.795
0.292 0.211 0.004
0.000 0.000 0.000
```

Calculated values
Energy of formation from the pure elements: -0.31 eV/atom

Entry 2:
Material: LiAl2VGa
Method: DFT, PBE
State: optimized geometry

POSCAR file:
```
LiAl2VGa
1.0
-3.726 -3.164 -0.668
1.105 -0.309 -4.704
3.032 -3.772 0.960
Li V Ga Al
1 1 1 2
direct
0.000 0.500 0.000
0.000 0.000 0.000
0.500 0.500 0.500
0.500 0.000 0.000
0.000 0.000 0.500
```

Calculated values
Energy of formation from the pure elements: 0.77 eV/atom
Polymorph energy (0 for the lowest one): 0 meV per atom

Entry 3:
Material: LiAl2VGa
Method: DFT, PBE
State: optimized geometry

POSCAR file:
```
LiAl2VGa
1.0
4.701 0.000 0.000
0.000 4.362 0.000
0.000 0.000 4.701
V Ga Al Li
1 1 2 1
direct
0.500 0.500 0.500
0.000 0.000 0.000
0.500 0.000 0.000
0.000 0.000 0.500
0.000 0.500 0.000
```

Calculated values
Energy of formation from the pure elements: 0.88 eV/atom
Polymorph energy (0 for the lowest one): 113 meV per atom

Entry 4:
Material: LiYAl2Ga4
Method: DFT, PBE
State: optimized geometry

POSCAR file:
```
LiYAl2Ga4
1.0
-0.068 -4.009 1.997
3.760 -2.416 0.302
2.995 1.536 8.211
Ga Li Y Al
4 1 1 2
direct
0.131 0.131 0.606
0.869 0.869 0.394
0.605 0.605 0.184
0.395 0.395 0.816
0.500 0.500 0.500
0.000 0.000 0.000
0.755 0.755 0.735
0.245 0.245 0.265
```

Calculated values
Energy of formation from the pure elements: -0.24 eV/atom

Entry 5:
Material: LiYAlGa
Method: DFT, PBE
State: optimized geometry

POSCAR file:
```
LiYAlGa
1.0
-4.787 -0.767 -0.078
-1.726 -4.524 -0.258
-2.201 -1.978 3.841
Y Al Li Ga
1 1 1 1
direct
0.750 0.750 0.750
0.500 0.500 0.500
0.250 0.250 0.250
0.000 0.000 0.000
```

Calculated values
Energy of formation from the pure elements: -0.34 eV/atom

Entry 6:
Material: LiY2AlGa6
Method: DFT, PBE
State: optimized geometry

POSCAR file:
```
LiY2AlGa6
1.0
0.552 -6.424 0.681
2.100 -2.331 -5.880
6.577 -6.100 -2.688
Al Ga Y Li
1 6 2 1
direct
0.000 0.000 0.000
0.827 0.685 0.992
0.714 0.780 0.506
0.286 0.220 0.494
0.704 0.228 0.862
0.173 0.315 0.008
0.296 0.772 0.138
0.237 0.736 0.508
0.763 0.264 0.492
0.500 0.500 0.000
```

Calculated values
Energy of formation from the pure elements: -0.34 eV/atom